# 1
Density functional theory data (PBE) for a geometry-optimized Sm8InSb5 structure.

The space group is I-4 (No. 82) and the conventional cell measures 9.409, 9.409 and 9.429 Å, with angles of 90.00, 90.00 and 90.00 degrees. The asymmetric unit holds Sm at (0.070, 0.324, 0.446), Sm at (0.072, 0.179, 0.805), In at (0.000, 0.000, 0.500), Sb at (0.000, 0.500, 0.750) and Sb at (0.126, 0.249, 0.126).

For the density of states at the Fermi level, the calculation gives 1.01 states/eV/atom. The formation energy without anion corrections comes out at -0.94 eV per atom. The total energy is -5.30 eV per atom.

# 2
Density functional theory data (PBE) for a geometry-optimized Mg2TaSb structure.

The space group is I4/mmm (No. 139) and the conventional cell measures 4.069, 4.069 and 9.840 Å, with angles of 90.00, 90.00 and 90.00 degrees. The asymmetric unit holds Mg at (0.000, 0.500, 0.250), Ta at (0.000, 0.000, 0.000) and Sb at (0.000, 0.000, 0.500).

For the density of states at the Fermi level, the calculation gives 0.98 states/eV/atom. The formation energy without anion corrections comes out at 0.17 eV per atom. The total energy is -4.62 eV per atom.

# 3
Density functional theory data (PBE) for a geometry-optimized HoAg2F6 structure.

The space group is C2/m (No. 12) and the conventional cell measures 12.328, 3.997 and 7.236 Å, with angles of 90.00, 125.07 and 90.00 degrees. The asymmetric unit holds Ho at (0.000, 0.000, 0.000), Ag at (0.176, 0.000, 0.632), F at (0.024, 0.000, 0.710), F at (0.112, 0.500, 0.036) and F at (0.202, 0.000, 0.327).

For the density of states at the Fermi level, the calculation gives 0.10 states/eV/atom. The formation energy without anion corrections comes out at -2.39 eV per atom. The total energy is -4.78 eV per atom. The energy above the most stable polymorph in this dataset is 25 meV/atom.

# 4
Density functional theory data (PBE) for a geometry-optimized CaAl2Zn2 structure.

The space group is P4/mbm (No. 127) and the conventional cell measures 7.773, 7.773 and 3.189 Å, with angles of 90.00, 90.00 and 90.00 degrees. The asymmetric unit holds Ca at (0.000, 0.000, 0.000), Al at (0.171, 0.329, 0.500) and Zn at (0.124, 0.624, 0.000).

For the density of states at the Fermi level, the calculation gives 0.42 states/eV/atom. The total energy is -2.47 eV per atom. The value obtained for the formation energy is -60 meV per atom.

# 5
Density functional theory data (PBE) for a geometry-optimized Li2ScCl structure.

The space group is R3m (No. 160, hexagonal axes) and the conventional cell measures 3.3682, 3.3682 and 25.1429 Å, with angles of 90.00, 90.00 and 120.00 degrees. The asymmetric unit holds Li at (0.0000, 0.0000, 0.0000), Li at (0.0000, 0.0000, 0.2373), Sc at (0.0000, 0.0000, 0.7597) and Cl at (0.0000, 0.0000, 0.5039).

For the density of states at the Fermi level, the calculation gives 0.60 states/eV/atom. The formation energy without anion corrections comes out at -0.61 eV per atom. The total energy is -3.61 eV per atom. The energy above the most stable polymorph in this dataset is 53 meV/atom.

# 6
Density functional theory data (PBE) for a geometry-optimized Cr2ReW structure.

The space group is Immm (No. 71) and the conventional cell measures 2.711, 4.637 and 9.574 Å, with angles of 90.00, 90.00 and 90.00 degrees. The asymmetric unit holds Cr at (0.000, 0.000, 0.242), Re at (0.000, 0.000, 0.000) and W at (0.000, 0.000, 0.500).

For the density of states at the Fermi level, the calculation gives 1.08 states/eV/atom. The total energy is -10.20 eV per atom. The value obtained for the formation energy is 960 meV per atom.

# 7
Density functional theory data (PBE) for a geometry-optimized SrBeTc2 structure.

The space group is P4mm (No. 99) and the conventional cell measures 3.122, 3.122 and 7.312 Å, with angles of 90.00, 90.00 and 90.00 degrees. The asymmetric unit holds Sr at (0.000, 0.000, 0.000), Be at (0.500, 0.500, 0.670), Tc at (0.000, 0.000, 0.523) and Tc at (0.500, 0.500, 0.334).

For the density of states at the Fermi level, the calculation gives 0.81 states/eV/atom. The total energy is -6.24 eV per atom. The value obtained for the formation energy is 300 meV per atom.

# 8
Density functional theory data (PBE) for a geometry-optimized GaHgBi2 structure.

The space group is P4/mmm (No. 123) and the conventional cell measures 3.794, 3.794 and 7.746 Å, with angles of 90.00, 90.00 and 90.00 degrees. The asymmetric unit holds Ga at (0.000, 0.000, 0.000), Hg at (0.000, 0.000, 0.500) and Bi at (0.500, 0.500, 0.211).

For the density of states at the Fermi level, the calculation gives 0.44 states/eV/atom. The total energy is -2.69 eV per atom. The value obtained for the formation energy is 80 meV per atom.